Ir4Ru: relaxed, GGA-PBE.

Its density of states at the Fermi level is 16.5 states/eV per cell. As for the energy above the most stable polymorph in this dataset: 63 meV per atom. For the total magnetization, the calculation gives 0.00 μB per formula unit. The value obtained for the volume is 216.58 Å³/cell. For the formation energy, the calculation gives 0.035 eV per atom.

a b c (Å): 2.734 2.734 33.437
angles (deg): 90.00 90.00 120.00
Positions (direct):
Ir 0.000 0.000 0.133
Ir 0.000 0.000 0.268
Ir 0.000 0.000 0.732
Ir 0.000 0.000 0.867
Ir 0.333 0.667 0.399
Ir 0.333 0.667 0.533
Ir 0.333 0.667 0.800
Ir 0.333 0.667 0.935
Ir 0.667 0.333 0.065
Ir 0.667 0.333 0.200
Ir 0.667 0.333 0.467
Ir 0.667 0.333 0.601
Ru 0.000 0.000 0.000
Ru 0.333 0.667 0.667
Ru 0.667 0.333 0.333